SiSb2TePd | the Alexandria database | PBE-GGA | optimized geometry; space group = P4/mmm (123); formation energy from raw total energies = 365 meV per atom; volume = 26.16 A^3/atom; total magnetic moment = 0.000 μB per formula unit; energy above the most stable polymorph in this dataset = 0.000 eV per atom
1.0
5.326 0.000 0.000
0.000 5.326 0.000
0.000 0.000 4.612
Si Sb Te Pd
1 2 1 1
Direct
0.000 0.000 0.000
0.000 0.500 0.000
0.500 0.000 0.000
0.500 0.500 0.500
0.000 0.000 0.500